VASP calculation (PBE-GGA) on a relaxed Tb2Ho9In crystal.

- Total DFT energy (no corrections): -54.0 eV per cell
- Magnetization: 0.00 μB/f.u.
- Energy relative to the elements: -0.07 eV per atom
- Theoretical density: 8.8 g/cm³

```
data_Tb2Ho9In
_cell_length_a 4.921
_cell_length_b 4.921
_cell_length_c 14.998
_cell_angle_alpha 90.00
_cell_angle_beta 90.00
_cell_angle_gamma 90.00
_space_group_name_H-M_alt 'P 4/m m m'
_space_group_IT_number 123
_space_group_name_Hall '-P 4 2'
loop_
_atom_site_label
_atom_site_type_symbol
_atom_site_fract_x
_atom_site_fract_y
_atom_site_fract_z
_atom_site_occupancy
Tb1 Tb 0.000 0.000 0.167 1
Ho1 Ho 0.000 0.500 0.000 1
Ho2 Ho 0.000 0.500 0.338 1
Ho3 Ho 0.500 0.500 0.172 1
Ho4 Ho 0.500 0.500 0.500 1
In1 In 0.000 0.000 0.500 1
```